This record from the Alexandria database describes a relaxed Tb5Te5Rh crystal. The functional is PBE.

The calculation puts the energy relative to the elements, uncorrected at -1234 meV per atom. The volume is 691.4 Å³ per cell.

The structure belongs to space group C2/m (No. 12); the cell edges are 13.8023, 6.1744 and 8.5821 Å and the angles 90.00°, 109.04° and 90.00°. The asymmetric unit holds Tb at (0.0000, 0.0000, 0.0000), Tb at (0.1481, 0.5000, 0.8498), Tb at (0.1504, 0.5000, 0.3087), Te at (0.0000, 0.5000, 0.5000), Te at (0.1654, 0.0000, 0.8245), Te at (0.1823, 0.0000, 0.3329) and Rh at (0.0000, 0.5000, 0.0000).

=====

This record from the Alexandria database describes a relaxed TbPr2Sn2Hg2 crystal. The functional is PBE.

The volume is 604.0 Å³ per cell. The energy of formation from the pure elements is -0.337 eV per atom.

The structure belongs to space group R-3m (No. 166, hexagonal axes); the cell edges are 5.0103, 5.0103 and 27.7816 Å and the angles 90.00°, 90.00° and 120.00°. The asymmetric unit holds Tb at (0.0000, 0.0000, 0.0000), Pr at (0.0000, 0.0000, 0.1294), Sn at (0.0000, 0.0000, 0.2748) and Hg at (0.0000, 0.0000, 0.4240).